(1)
A plane-wave DFT calculation with PBE was carried out for an optimized crystal structure of Tb4YEr15.

Properties
**Total energy**: -4.650 eV per atom
**DOS(E_F)**: 26.28 states/eV/f.u.
**Calculated formation energy**: 0.022 eV per atom

Geometry as CIF:
```
data_Tb4YEr15
_cell_length_a 4.981
_cell_length_b 4.981
_cell_length_c 24.897
_cell_angle_alpha 90.00
_cell_angle_beta 90.00
_cell_angle_gamma 90.00
_symmetry_space_group_name_H-M 'P 4/m m m'
_symmetry_Int_Tables_number 123
_symmetry_space_group_name_Hall '-P 4 2'
loop_
_atom_site_label
_atom_site_fract_x
_atom_site_fract_y
_atom_site_fract_z
_atom_site_occupancy
Tb1 0.000 0.000 0.100 1
Tb2 0.000 0.000 0.300 1
Y1 0.000 0.000 0.500 1
Er1 0.000 0.500 0.000 1
Er2 0.000 0.500 0.200 1
Er3 0.000 0.500 0.400 1
Er4 0.500 0.500 0.100 1
Er5 0.500 0.500 0.300 1
Er6 0.500 0.500 0.500 1
```



(2)
A plane-wave DFT calculation with PBE was carried out for an optimized crystal structure of La2Dy2HoMg5.

Properties
**Total energy**: -3.154 eV per atom
**DOS(E_F)**: 7.03 states/eV/f.u.
**Calculated formation energy**: 0.007 eV per atom

Geometry as CIF:
```
data_La2Dy2HoMg5
_cell_length_a 10.636
_cell_length_b 10.636
_cell_length_c 5.111
_cell_angle_alpha 90.00
_cell_angle_beta 90.00
_cell_angle_gamma 90.00
_symmetry_space_group_name_H-M 'P 4/m b m'
_symmetry_Int_Tables_number 127
_symmetry_space_group_name_Hall '-P 4 2ab'
loop_
_atom_site_label
_atom_site_fract_x
_atom_site_fract_y
_atom_site_fract_z
_atom_site_occupancy
La1 0.175 0.325 0.000 1
Dy1 0.121 0.621 0.000 1
Ho1 0.000 0.000 0.000 1
Mg1 0.000 0.500 0.500 1
Mg2 0.070 0.802 0.500 1
```



(3)
A plane-wave DFT calculation with PBE was carried out for an optimized crystal structure of NdYAlAu.

Properties
**Total energy**: -5.091 eV per atom
**DOS(E_F)**: 4.12 states/eV/f.u.
**Calculated formation energy**: -0.528 eV per atom

Geometry as CIF:
```
data_NdYAlAu
_cell_length_a 7.392
_cell_length_b 7.392
_cell_length_c 7.392
_cell_angle_alpha 90.00
_cell_angle_beta 90.00
_cell_angle_gamma 90.00
_symmetry_space_group_name_H-M 'F -4 3 m'
_symmetry_Int_Tables_number 216
_symmetry_space_group_name_Hall 'F -4 2 3'
loop_
_atom_site_label
_atom_site_fract_x
_atom_site_fract_y
_atom_site_fract_z
_atom_site_occupancy
Nd1 0.000 0.000 0.000 1
Y1 0.000 0.000 0.500 1
Al1 0.250 0.250 0.750 1
Au1 0.250 0.250 0.250 1
```



(4)
A plane-wave DFT calculation with PBE was carried out for an optimized crystal structure of KAgS2N.

Properties
**Energy relative to the elements, uncorrected**: 1.690 eV/atom
**Total energy**: -2.416 eV per atom
**DOS(E_F)**: 3.62 states/eV/f.u.

Geometry as CIF:
```
data_KAgS2N
_cell_length_a 5.640
_cell_length_b 5.640
_cell_length_c 4.769
_cell_angle_alpha 90.00
_cell_angle_beta 90.00
_cell_angle_gamma 90.00
_symmetry_space_group_name_H-M 'P 4/m m m'
_symmetry_Int_Tables_number 123
_symmetry_space_group_name_Hall '-P 4 2'
loop_
_atom_site_label
_atom_site_fract_x
_atom_site_fract_y
_atom_site_fract_z
_atom_site_occupancy
K1 0.000 0.000 0.000 1
Ag1 0.500 0.500 0.500 1
S1 0.000 0.500 0.000 1
N1 0.000 0.000 0.500 1
```



(5)
A plane-wave DFT calculation with PBE was carried out for an optimized crystal structure of MgRe2Te.

Properties
**Energy relative to the elements, uncorrected**: 0.806 eV/atom
**Total energy**: -6.602 eV per atom
**DOS(E_F)**: 4.77 states/eV/f.u.

Geometry as CIF:
```
data_MgRe2Te
_cell_length_a 3.0566
_cell_length_b 3.0566
_cell_length_c 26.3204
_cell_angle_alpha 90.00
_cell_angle_beta 90.00
_cell_angle_gamma 120.00
_symmetry_space_group_name_H-M 'R -3 m'
_symmetry_Int_Tables_number 166
_symmetry_space_group_name_Hall '-R 3 2"'
loop_
_atom_site_label
_atom_site_fract_x
_atom_site_fract_y
_atom_site_fract_z
_atom_site_occupancy
Mg1 0.0000 0.0000 0.0000 1
Re1 0.0000 0.0000 0.2447 1
Te1 0.0000 0.0000 0.5000 1
```



(6)
A plane-wave DFT calculation with PBE was carried out for an optimized crystal structure of Sr2LaIrPb.

Properties
**Total energy**: -4.548 eV per atom
**DOS(E_F)**: 2.63 states/eV/f.u.
**Calculated formation energy**: -0.376 eV per atom

Geometry as CIF:
```
data_Sr2LaIrPb
_cell_length_a 5.826
_cell_length_b 5.826
_cell_length_c 5.435
_cell_angle_alpha 90.00
_cell_angle_beta 90.00
_cell_angle_gamma 90.00
_symmetry_space_group_name_H-M 'P 4/m m m'
_symmetry_Int_Tables_number 123
_symmetry_space_group_name_Hall '-P 4 2'
loop_
_atom_site_label
_atom_site_fract_x
_atom_site_fract_y
_atom_site_fract_z
_atom_site_occupancy
Sr1 0.000 0.500 0.000 1
La1 0.000 0.000 0.500 1
Ir1 0.000 0.000 0.000 1
Pb1 0.500 0.500 0.500 1
```



What did the first record say?
A plane-wave DFT calculation with PBE was carried out for an optimized crystal structure of Tb4YEr15.

Properties
**Total energy**: -4.650 eV per atom
**DOS(E_F)**: 26.28 states/eV/f.u.
**Calculated formation energy**: 0.022 eV per atom

Geometry as CIF:
```
data_Tb4YEr15
_cell_length_a 4.981
_cell_length_b 4.981
_cell_length_c 24.897
_cell_angle_alpha 90.00
_cell_angle_beta 90.00
_cell_angle_gamma 90.00
_symmetry_space_group_name_H-M 'P 4/m m m'
_symmetry_Int_Tables_number 123
_symmetry_space_group_name_Hall '-P 4 2'
loop_
_atom_site_label
_atom_site_fract_x
_atom_site_fract_y
_atom_site_fract_z
_atom_site_occupancy
Tb1 0.000 0.000 0.100 1
Tb2 0.000 0.000 0.300 1
Y1 0.000 0.000 0.500 1
Er1 0.000 0.500 0.000 1
Er2 0.000 0.500 0.200 1
Er3 0.000 0.500 0.400 1
Er4 0.500 0.500 0.100 1
Er5 0.500 0.500 0.300 1
Er6 0.500 0.500 0.500 1
```